No. 1
# Ba3Ag2SnS6 | the Alexandria database | PBE | relaxed
data_Ba3Ag2SnS6
_chemical_formula_sum 'Ba3 Ag2 Sn1 S6'
_cell_length_a 7.3975
_cell_length_b 7.3975
_cell_length_c 7.6776
_cell_angle_alpha 90.00
_cell_angle_beta 90.00
_cell_angle_gamma 120.00
_space_group_name_H-M_alt 'P 1'
_space_group_IT_number 1
loop_
_space_group_symop_operation_xyz
'x,y,z'
loop_
_atom_site_label
_atom_site_type_symbol
_atom_site_fract_x
_atom_site_fract_y
_atom_site_fract_z
S1 S 0.3310 0.1655 0.6959
S2 S 0.6690 0.8345 0.3041
Sn1 Sn 0.0000 0.0000 0.5000
Ba1 Ba 0.3333 0.6667 0.6119
S3 S 0.8345 0.6690 0.6959
S4 S 0.1655 0.3310 0.3041
S5 S 0.8345 0.1655 0.6959
S6 S 0.1655 0.8345 0.3041
Ag1 Ag 0.3333 0.6667 0.1413
Ba2 Ba 0.0000 0.0000 0.0000
Ag2 Ag 0.6667 0.3333 0.8587
Ba3 Ba 0.6667 0.3333 0.3881
# E in eV per atom: -4.302
# Energy relative to the elements, uncorrected in eV/atom: -0.95
# D(E_F) in states/eV per cell: 3.4
# Calculated volume in Å³ per cell: 363.86
# SG: P-3m1, No. 164

***

No. 2
# HoEr2Ni | the Alexandria database | PBE | relaxed
data_HoEr2Ni
_chemical_formula_sum 'Ho2 Er4 Ni2'
_cell_length_a 3.6007
_cell_length_b 6.2072
_cell_length_c 9.4603
_cell_angle_alpha 90.00
_cell_angle_beta 90.00
_cell_angle_gamma 106.85
_space_group_name_H-M_alt 'P 1'
_space_group_IT_number 1
loop_
_space_group_symop_operation_xyz
'x,y,z'
loop_
_atom_site_label
_atom_site_type_symbol
_atom_site_fract_x
_atom_site_fract_y
_atom_site_fract_z
Er1 Er 0.6368 0.2733 0.0699
Ni1 Ni 0.2374 0.4747 0.2500
Ni2 Ni 0.7626 0.5253 0.7500
Er2 Er 0.3632 0.7267 0.9301
Er3 Er 0.3632 0.7267 0.5699
Er4 Er 0.6368 0.2733 0.4301
Ho1 Ho 0.9187 0.8373 0.2500
Ho2 Ho 0.0813 0.1627 0.7500
# E in eV per atom: -5.102
# D(E_F) in states/eV per cell: 11.5
# Relative energy among the computed polymorphs in meV per atom: 34.5
# Calculated volume in Å³ per cell: 202.36
# SG: Cmcm, No. 63
# ΔE_f in eV/atom: -0.23

***

No. 3
# K2SiGeN | the Alexandria database | PBE | relaxed
data_K2SiGeN
_chemical_formula_sum 'K2 Si1 Ge1 N1'
_cell_length_a 6.7145
_cell_length_b 3.3703
_cell_length_c 6.7145
_cell_angle_alpha 90.00
_cell_angle_beta 90.00
_cell_angle_gamma 90.00
_space_group_name_H-M_alt 'P 1'
_space_group_IT_number 1
loop_
_space_group_symop_operation_xyz
'x,y,z'
loop_
_atom_site_label
_atom_site_type_symbol
_atom_site_fract_x
_atom_site_fract_y
_atom_site_fract_z
Si1 Si 0.0000 0.0000 0.0000
Ge1 Ge 0.5000 0.5000 0.5000
K1 K 0.5000 0.0000 0.0000
N1 N 0.0000 0.5000 0.0000
K2 K 0.0000 0.0000 0.5000
# E in eV per atom: -3.723
# Energy relative to the elements, uncorrected in eV/atom: 0.39
# D(E_F) in states/eV per cell: 5.1
# Calculated volume in Å³ per cell: 151.95
# SG: P4/mmm, No. 123

***

no.,density (Mg/m³)
1,4.284
2,9.160
3,2.108